## NbGaRh (PBE-GGA)

Data for NbGaRh after structural relaxation.

```
data_NbGaRh
_cell_length_a 2.960
_cell_length_b 2.960
_cell_length_c 5.701
_cell_angle_alpha 105.05
_cell_angle_beta 105.05
_cell_angle_gamma 90.00
_space_group_name_H-M_alt 'P 1'
_space_group_IT_number 1
loop_
_space_group_symop_operation_xyz
'x,y,z'
loop_
_atom_site_label
_atom_site_fract_x
_atom_site_fract_y
_atom_site_fract_z
Rh1 0.677 0.677 0.354
Ga1 0.322 0.322 0.645
Nb1 0.001 0.001 0.002
```

## Properties
Space-group type   I4mm, No. 107
Mass density   9.49 g cm⁻³
DFT formation energy   -0.501 eV/atom


## BaTbMg2Hg4 (PBE-GGA)

Data for BaTbMg2Hg4 after structural relaxation.

```
data_BaTbMg2Hg4
_cell_length_a 5.071
_cell_length_b 5.071
_cell_length_c 10.124
_cell_angle_alpha 75.49
_cell_angle_beta 75.49
_cell_angle_gamma 60.00
_space_group_name_H-M_alt 'P 1'
_space_group_IT_number 1
loop_
_space_group_symop_operation_xyz
'x,y,z'
loop_
_atom_site_label
_atom_site_fract_x
_atom_site_fract_y
_atom_site_fract_z
Hg1 0.394 0.394 0.819
Mg1 0.236 0.236 0.292
Tb1 0.500 0.500 0.500
Hg2 0.873 0.873 0.380
Mg2 0.764 0.764 0.708
Hg3 0.606 0.606 0.181
Hg4 0.127 0.127 0.620
Ba1 0.000 0.000 0.000
```

## Properties
Space-group type   R-3m, No. 166
Mass density   8.83 g cm⁻³
DFT formation energy   -0.403 eV/atom


Question: Which value of mass density does entry 2 give?
Answer: 8.83 g cm⁻³


Question: Which of these has the highest DFT formation energy?
Answer: BaTbMg2Hg4